Computed, not measured: crystalline YMnNO2 at its relaxed geometry at the GGA+U level of DFT.

volume: 84.6 Å³ per cell
total DFT energy (no corrections): -0.5164 Ry per atom
D(E_F): 0.57 states/eV/atom
total magnetic moment: 3.0 μB per formula unit

Cell lengths 4.338, 4.338, 4.497 Å; angles 90.00, 90.00, 90.00 degrees
Each line ends with the local moment (μB).
Positions (direct):
O1 0.500 0.000 0.000  -0.30
O2 0.000 0.500 0.000  -0.30
Mn1 0.500 0.500 0.500  4.76
Y1 0.000 0.000 0.000  -0.02
N1 0.000 0.000 0.500  -0.96